The following is a GGA-PBE calculation of crystalline Li6Zn3Ga at its relaxed geometry, from Alexandria.

The space group is P2_1/m (No. 11) and the conventional cell measures 7.351, 4.475 and 9.889 Å, with angles of 90.00, 105.50 and 90.00 degrees. The distinct sites, in fractional coordinates, are Li at (0.018, 0.250, 0.348), Li at (0.020, 0.250, 0.846), Li at (0.206, 0.750, 0.977), Li at (0.235, 0.250, 0.643), Li at (0.411, 0.750, 0.778), Li at (0.420, 0.250, 0.432), Zn at (0.198, 0.750, 0.469), Zn at (0.203, 0.250, 0.142), Zn at (0.366, 0.750, 0.266) and Ga at (0.407, 0.250, 0.931).

Its crystal system is monoclinic. As for the final energy: -40.10 eV per cell. As for the formation energy: -0.17 eV/atom. The magnetic moment is 0.0 μB/cell.